# 1
Computed, not measured: a geometry-optimized LiLa2ScC structure at the PBE-GGA level of DFT.

Results
E_tot   -5.48 eV per atom
ΔH_f (0 K)   -0.01 eV per atom

```
data_LiLa2ScC
_cell_length_a 5.373
_cell_length_b 5.373
_cell_length_c 4.517
_cell_angle_alpha 90.00
_cell_angle_beta 90.00
_cell_angle_gamma 90.00
_space_group_name_H-M_alt 'P 4/m m m'
_space_group_IT_number 123
_space_group_name_Hall '-P 4 2'
loop_
_atom_site_label
_atom_site_type_symbol
_atom_site_fract_x
_atom_site_fract_y
_atom_site_fract_z
Li1 Li 0.000 0.000 0.000
La1 La 0.000 0.500 0.500
Sc1 Sc 0.500 0.500 0.000
C1 C 0.500 0.500 0.500
```

***

# 2
Computed, not measured: a geometry-optimized NaSrGaF6 structure at the PBE-GGA level of DFT.

Results
Formation energy without anion corrections   -3142 meV/atom
E_tot   -5.06 eV per atom
Distance to the lowest polymorph of the same formula   13 meV/atom

```
data_NaSrGaF6
_cell_length_a 5.5571
_cell_length_b 5.5571
_cell_length_c 5.0961
_cell_angle_alpha 90.00
_cell_angle_beta 90.00
_cell_angle_gamma 120.00
_space_group_name_H-M_alt 'P 3 1 2'
_space_group_IT_number 149
_space_group_name_Hall 'P 3 2'
loop_
_atom_site_label
_atom_site_type_symbol
_atom_site_fract_x
_atom_site_fract_y
_atom_site_fract_z
Na1 Na 0.0000 0.0000 0.0000
Sr1 Sr 0.6667 0.3333 0.5000
Ga1 Ga 0.3333 0.6667 0.0000
F1 F 0.0471 0.3805 0.2153
```

***

# 3
Computed, not measured: a geometry-optimized K2InOs structure at the PBE-GGA level of DFT.

Results
E_tot   -3.02 eV per atom
ΔH_f (0 K)   1.03 eV per atom

```
data_K2InOs
_cell_length_a 3.0608
_cell_length_b 3.0608
_cell_length_c 36.0776
_cell_angle_alpha 90.00
_cell_angle_beta 90.00
_cell_angle_gamma 120.00
_space_group_name_H-M_alt 'R -3 m'
_space_group_IT_number 166
_space_group_name_Hall '-R 3 2"'
loop_
_atom_site_label
_atom_site_type_symbol
_atom_site_fract_x
_atom_site_fract_y
_atom_site_fract_z
K1 K 0.0000 0.0000 0.2427
In1 In 0.0000 0.0000 0.0000
Os1 Os 0.0000 0.0000 0.5000
```

***

# 4
Computed, not measured: a geometry-optimized KAu2S2 structure at the PBE-GGA level of DFT.

Results
Formation energy without anion corrections   -251 meV/atom
E_tot   -3.43 eV per atom
Distance to the lowest polymorph of the same formula   0 meV/atom

```
data_KAu2S2
_cell_length_a 5.021
_cell_length_b 5.021
_cell_length_c 10.997
_cell_angle_alpha 90.00
_cell_angle_beta 90.00
_cell_angle_gamma 90.00
_space_group_name_H-M_alt 'I 4/m m m'
_space_group_IT_number 139
_space_group_name_Hall '-I 4 2'
loop_
_atom_site_label
_atom_site_type_symbol
_atom_site_fract_x
_atom_site_fract_y
_atom_site_fract_z
K1 K 0.000 0.000 0.000
Au1 Au 0.000 0.000 0.287
S1 S 0.000 0.500 0.250
```